Crystalline K3Tl3HgBr8 at its relaxed geometry. Source: the Alexandria database, functional PBE-GGA. Values from VASP.

Values from the calculation:
Formation energy from raw total energies   -1127 meV per atom
Space-group type   R-3m, No. 166

Geometry as Quantum ESPRESSO input:
```
&SYSTEM
  ibrav = 0, nat = 15, ntyp = 4
/
ATOMIC_SPECIES
Br 79.90 Br.upf
Tl 204.38 Tl.upf
Hg 200.59 Hg.upf
K 39.10 K.upf
CELL_PARAMETERS angstrom
9.386 0.000 0.000
-4.693 8.131 -0.026
0.000 -5.391 7.758
ATOMIC_POSITIONS angstrom
Br 4.693 0.023 5.752
Br -2.638 4.254 5.530
Br 0.000 -0.318 5.544
Br 7.331 -1.514 2.203
Br 2.055 -1.514 2.203
Br 4.693 3.058 2.189
Br 0.000 2.717 1.980
Br 2.638 4.254 5.530
Tl -2.347 4.065 -0.013
Tl 2.347 4.065 -0.013
Tl 0.000 0.000 0.000
Hg 0.000 -2.695 3.879
K 2.347 1.370 3.866
K 4.693 -2.695 3.879
K -2.347 1.370 3.866
```


Crystalline KTlHg2Br8 at its relaxed geometry. Source: the Alexandria database, functional PBE-GGA. Values from VASP.

Values from the calculation:
Formation energy from raw total energies   -663 meV per atom
Space-group type   P-1, No. 2

Geometry as Quantum ESPRESSO input:
```
&SYSTEM
  ibrav = 0, nat = 12, ntyp = 4
/
ATOMIC_SPECIES
K 39.10 K.upf
Tl 204.38 Tl.upf
Hg 200.59 Hg.upf
Br 79.90 Br.upf
CELL_PARAMETERS angstrom
7.110 -0.429 0.271
-0.444 7.409 1.225
0.230 1.671 9.114
ATOMIC_POSITIONS angstrom
K 0.115 0.836 4.557
Tl 0.000 0.000 0.000
Hg 3.744 3.260 6.950
Hg 3.153 5.392 3.660
Br 4.333 5.197 1.377
Br 1.008 7.425 8.727
Br 3.800 6.083 6.120
Br 3.096 2.569 4.491
Br 5.888 1.226 1.884
Br 2.564 3.454 9.233
Br 0.493 5.868 3.578
Br 6.404 2.784 7.033
```


| no. | calculated density (g/cm³) | total magnetic moment (Bohr magnetons per cell) |
| --- | --- | --- |
| 1 | 4.4 | 0.0 |
| 2 | 4.6 | 0.0 |